*w*
Material: Sc2As2Br
Method: DFT, GGA-PBE
State: optimized geometry

Cell and atoms, written as CIF:
```
data_Sc2As2Br
_chemical_formula_sum 'Sc4 As4 Br2'
_symmetry_space_group_name_H-M 'I 4/m m m'
_symmetry_Int_Tables_number 139
_symmetry_space_group_name_Hall '-I 4 2'
_cell_length_a 5.0283
_cell_length_b 5.0283
_cell_length_c 9.1616
_cell_angle_alpha 90.00
_cell_angle_beta 90.00
_cell_angle_gamma 90.00
loop_
_atom_site_label
_atom_site_fract_x
_atom_site_fract_y
_atom_site_fract_z
_atom_site_occupancy
Sc1 0.0000 0.5000 0.2500 1
As1 0.0000 0.0000 0.1365 1
Br1 0.0000 0.0000 0.5000 1
```



*x*
Material: Sc2As2Br
Method: DFT, GGA-PBE
State: optimized geometry

Cell and atoms, written as CIF:
```
data_Sc2As2Br
_chemical_formula_sum 'Sc4 As4 Br2'
_symmetry_space_group_name_H-M 'P 4/m b m'
_symmetry_Int_Tables_number 127
_symmetry_space_group_name_Hall '-P 4 2ab'
_cell_length_a 7.5506
_cell_length_b 7.5506
_cell_length_c 3.6403
_cell_angle_alpha 90.00
_cell_angle_beta 90.00
_cell_angle_gamma 90.00
loop_
_atom_site_label
_atom_site_fract_x
_atom_site_fract_y
_atom_site_fract_z
_atom_site_occupancy
Sc1 0.1649 0.3351 0.0000 1
As1 0.1273 0.6273 0.5000 1
Br1 0.0000 0.0000 0.0000 1
```



Energies in eV/atom, measured from the most stable structure: *w* 0.105; *x* 0.000.



*w*
Material: ScAsBr3
Method: DFT, GGA-PBE
State: optimized geometry

Cell and atoms, written as CIF:
```
data_ScAsBr3
_chemical_formula_sum 'Sc1 As1 Br3'
_symmetry_space_group_name_H-M 'P m -3 m'
_symmetry_Int_Tables_number 221
_symmetry_space_group_name_Hall '-P 4 2 3'
_cell_length_a 5.3647
_cell_length_b 5.3647
_cell_length_c 5.3647
_cell_angle_alpha 90.00
_cell_angle_beta 90.00
_cell_angle_gamma 90.00
loop_
_atom_site_label
_atom_site_fract_x
_atom_site_fract_y
_atom_site_fract_z
_atom_site_occupancy
Sc1 0.0000 0.0000 0.0000 1
As1 0.5000 0.5000 0.5000 1
Br1 0.0000 0.0000 0.5000 1
```



*x*
Material: ScAsBr3
Method: DFT, GGA-PBE
State: optimized geometry

Cell and atoms, written as CIF:
```
data_ScAsBr3
_chemical_formula_sum 'Sc1 As1 Br3'
_symmetry_space_group_name_H-M 'P m -3 m'
_symmetry_Int_Tables_number 221
_symmetry_space_group_name_Hall '-P 4 2 3'
_cell_length_a 5.3757
_cell_length_b 5.3757
_cell_length_c 5.3757
_cell_angle_alpha 90.00
_cell_angle_beta 90.00
_cell_angle_gamma 90.00
loop_
_atom_site_label
_atom_site_fract_x
_atom_site_fract_y
_atom_site_fract_z
_atom_site_occupancy
Sc1 0.0000 0.0000 0.0000 1
As1 0.5000 0.5000 0.5000 1
Br1 0.0000 0.5000 0.5000 1
```



Energies in eV/atom, measured from the most stable structure: *w* 0.000; *x* 0.695.



*w*
Material: ScAs2SeBr
Method: DFT, GGA-PBE
State: optimized geometry

Cell and atoms, written as CIF:
```
data_ScAs2SeBr
_chemical_formula_sum 'Sc1 As2 Se1 Br1'
_symmetry_space_group_name_H-M 'P 4/m m m'
_symmetry_Int_Tables_number 123
_symmetry_space_group_name_Hall '-P 4 2'
_cell_length_a 5.0230
_cell_length_b 5.0230
_cell_length_c 5.1159
_cell_angle_alpha 90.00
_cell_angle_beta 90.00
_cell_angle_gamma 90.00
loop_
_atom_site_label
_atom_site_fract_x
_atom_site_fract_y
_atom_site_fract_z
_atom_site_occupancy
Sc1 0.0000 0.0000 0.0000 1
As1 0.0000 0.5000 0.5000 1
Se1 0.5000 0.5000 0.0000 1
Br1 0.5000 0.5000 0.5000 1
```



*x*
Material: ScAs2SeBr
Method: DFT, GGA-PBE
State: optimized geometry

Cell and atoms, written as CIF:
```
data_ScAs2SeBr
_chemical_formula_sum 'Sc1 As2 Se1 Br1'
_symmetry_space_group_name_H-M 'P 4/m m m'
_symmetry_Int_Tables_number 123
_symmetry_space_group_name_Hall '-P 4 2'
_cell_length_a 5.2831
_cell_length_b 5.2831
_cell_length_c 4.9536
_cell_angle_alpha 90.00
_cell_angle_beta 90.00
_cell_angle_gamma 90.00
loop_
_atom_site_label
_atom_site_fract_x
_atom_site_fract_y
_atom_site_fract_z
_atom_site_occupancy
Sc1 0.0000 0.0000 0.0000 1
As1 0.0000 0.5000 0.0000 1
Se1 0.5000 0.5000 0.5000 1
Br1 0.0000 0.0000 0.5000 1
```



*y*
Material: ScAs2SeBr
Method: DFT, GGA-PBE
State: optimized geometry

Cell and atoms, written as CIF:
```
data_ScAs2SeBr
_chemical_formula_sum 'Sc1 As2 Se1 Br1'
_symmetry_space_group_name_H-M 'P 4/m m m'
_symmetry_Int_Tables_number 123
_symmetry_space_group_name_Hall '-P 4 2'
_cell_length_a 5.2467
_cell_length_b 5.2467
_cell_length_c 4.9943
_cell_angle_alpha 90.00
_cell_angle_beta 90.00
_cell_angle_gamma 90.00
loop_
_atom_site_label
_atom_site_fract_x
_atom_site_fract_y
_atom_site_fract_z
_atom_site_occupancy
Sc1 0.0000 0.0000 0.0000 1
As1 0.0000 0.5000 0.0000 1
Se1 0.0000 0.0000 0.5000 1
Br1 0.5000 0.5000 0.5000 1
```



Energies in eV/atom, measured from the most stable structure: *w* 0.560; *x* 0.037; *y* 0.000.



*w*
Material: ScAsSeBr2
Method: DFT, GGA-PBE
State: optimized geometry

Cell and atoms, written as CIF:
```
data_ScAsSeBr2
_chemical_formula_sum 'Sc1 As1 Se1 Br2'
_symmetry_space_group_name_H-M 'P 4/m m m'
_symmetry_Int_Tables_number 123
_symmetry_space_group_name_Hall '-P 4 2'
_cell_length_a 5.1739
_cell_length_b 5.1739
_cell_length_c 5.4784
_cell_angle_alpha 90.00
_cell_angle_beta 90.00
_cell_angle_gamma 90.00
loop_
_atom_site_label
_atom_site_fract_x
_atom_site_fract_y
_atom_site_fract_z
_atom_site_occupancy
Sc1 0.0000 0.0000 0.0000 1
As1 0.5000 0.5000 0.5000 1
Se1 0.0000 0.0000 0.5000 1
Br1 0.0000 0.5000 0.0000 1
```



*x*
Material: ScAsSeBr2
Method: DFT, GGA-PBE
State: optimized geometry

Cell and atoms, written as CIF:
```
data_ScAsSeBr2
_chemical_formula_sum 'Sc1 As1 Se1 Br2'
_symmetry_space_group_name_H-M 'P 4/m m m'
_symmetry_Int_Tables_number 123
_symmetry_space_group_name_Hall '-P 4 2'
_cell_length_a 5.1504
_cell_length_b 5.1504
_cell_length_c 5.3502
_cell_angle_alpha 90.00
_cell_angle_beta 90.00
_cell_angle_gamma 90.00
loop_
_atom_site_label
_atom_site_fract_x
_atom_site_fract_y
_atom_site_fract_z
_atom_site_occupancy
Sc1 0.0000 0.0000 0.0000 1
As1 0.5000 0.5000 0.5000 1
Se1 0.5000 0.5000 0.0000 1
Br1 0.0000 0.5000 0.5000 1
```



*y*
Material: ScAsSeBr2
Method: DFT, GGA-PBE
State: optimized geometry

Cell and atoms, written as CIF:
```
data_ScAsSeBr2
_chemical_formula_sum 'Sc1 As1 Se1 Br2'
_symmetry_space_group_name_H-M 'P 4/m m m'
_symmetry_Int_Tables_number 123
_symmetry_space_group_name_Hall '-P 4 2'
_cell_length_a 5.0346
_cell_length_b 5.0346
_cell_length_c 5.7761
_cell_angle_alpha 90.00
_cell_angle_beta 90.00
_cell_angle_gamma 90.00
loop_
_atom_site_label
_atom_site_fract_x
_atom_site_fract_y
_atom_site_fract_z
_atom_site_occupancy
Sc1 0.0000 0.0000 0.0000 1
As1 0.0000 0.0000 0.5000 1
Se1 0.5000 0.5000 0.5000 1
Br1 0.0000 0.5000 0.0000 1
```



*z*
Material: ScAsSeBr2
Method: DFT, GGA-PBE
State: optimized geometry

Cell and atoms, written as CIF:
```
data_ScAsSeBr2
_chemical_formula_sum 'Sc1 As1 Se1 Br2'
_symmetry_space_group_name_H-M 'P 4/m m m'
_symmetry_Int_Tables_number 123
_symmetry_space_group_name_Hall '-P 4 2'
_cell_length_a 5.1553
_cell_length_b 5.1553
_cell_length_c 5.3434
_cell_angle_alpha 90.00
_cell_angle_beta 90.00
_cell_angle_gamma 90.00
loop_
_atom_site_label
_atom_site_fract_x
_atom_site_fract_y
_atom_site_fract_z
_atom_site_occupancy
Sc1 0.0000 0.0000 0.0000 1
As1 0.5000 0.5000 0.0000 1
Se1 0.5000 0.5000 0.5000 1
Br1 0.0000 0.5000 0.5000 1
```



Energies in eV/atom, measured from the most stable structure: *w* 0.000; *x* 0.455; *y* 0.140; *z* 0.746.



*w*
Material: ScSiAsBr2
Method: DFT, GGA-PBE
State: optimized geometry

Cell and atoms, written as CIF:
```
data_ScSiAsBr2
_chemical_formula_sum 'Sc1 Si1 As1 Br2'
_symmetry_space_group_name_H-M 'P 4/m m m'
_symmetry_Int_Tables_number 123
_symmetry_space_group_name_Hall '-P 4 2'
_cell_length_a 4.9623
_cell_length_b 4.9623
_cell_length_c 5.1192
_cell_angle_alpha 90.00
_cell_angle_beta 90.00
_cell_angle_gamma 90.00
loop_
_atom_site_label
_atom_site_fract_x
_atom_site_fract_y
_atom_site_fract_z
_atom_site_occupancy
Sc1 0.0000 0.0000 0.0000 1
Si1 0.5000 0.5000 0.5000 1
As1 0.5000 0.5000 0.0000 1
Br1 0.0000 0.5000 0.5000 1
```



*x*
Material: ScSiAsBr2
Method: DFT, GGA-PBE
State: optimized geometry

Cell and atoms, written as CIF:
```
data_ScSiAsBr2
_chemical_formula_sum 'Sc1 Si1 As1 Br2'
_symmetry_space_group_name_H-M 'P 4/m m m'
_symmetry_Int_Tables_number 123
_symmetry_space_group_name_Hall '-P 4 2'
_cell_length_a 5.0840
_cell_length_b 5.0840
_cell_length_c 5.5232
_cell_angle_alpha 90.00
_cell_angle_beta 90.00
_cell_angle_gamma 90.00
loop_
_atom_site_label
_atom_site_fract_x
_atom_site_fract_y
_atom_site_fract_z
_atom_site_occupancy
Sc1 0.0000 0.0000 0.0000 1
Si1 0.5000 0.5000 0.5000 1
As1 0.0000 0.0000 0.5000 1
Br1 0.0000 0.5000 0.0000 1
```



Energies in eV/atom, measured from the most stable structure: *w* 0.163; *x* 0.000.



*w*
Material: ScTaAs2Br
Method: DFT, GGA-PBE
State: optimized geometry

Cell and atoms, written as CIF:
```
data_ScTaAs2Br
_chemical_formula_sum 'Sc1 Ta1 As2 Br1'
_symmetry_space_group_name_H-M 'P 4/m m m'
_symmetry_Int_Tables_number 123
_symmetry_space_group_name_Hall '-P 4 2'
_cell_length_a 5.0899
_cell_length_b 5.0899
_cell_length_c 4.9651
_cell_angle_alpha 90.00
_cell_angle_beta 90.00
_cell_angle_gamma 90.00
loop_
_atom_site_label
_atom_site_fract_x
_atom_site_fract_y
_atom_site_fract_z
_atom_site_occupancy
Sc1 0.0000 0.0000 0.0000 1
Ta1 0.5000 0.5000 0.5000 1
As1 0.0000 0.5000 0.0000 1
Br1 0.0000 0.0000 0.5000 1
```



*x*
Material: ScTaAs2Br
Method: DFT, GGA-PBE
State: optimized geometry

Cell and atoms, written as CIF:
```
data_ScTaAs2Br
_chemical_formula_sum 'Sc1 Ta1 As2 Br1'
_symmetry_space_group_name_H-M 'P 4/m m m'
_symmetry_Int_Tables_number 123
_symmetry_space_group_name_Hall '-P 4 2'
_cell_length_a 5.0197
_cell_length_b 5.0197
_cell_length_c 5.0621
_cell_angle_alpha 90.00
_cell_angle_beta 90.00
_cell_angle_gamma 90.00
loop_
_atom_site_label
_atom_site_fract_x
_atom_site_fract_y
_atom_site_fract_z
_atom_site_occupancy
Sc1 0.0000 0.0000 0.0000 1
Ta1 0.5000 0.5000 0.5000 1
As1 0.0000 0.5000 0.5000 1
Br1 0.5000 0.5000 0.0000 1
```



Energies in eV/atom, measured from the most stable structure: *w* 0.576; *x* 0.000.